Computed, not measured: crystalline LaGdAsO at its relaxed geometry at the PBE level of DFT.

calculated volume: 87.2 Å³/f.u.
E_tot: -6.637 eV/atom

Cell and atoms, written as CIF:
```
data_LaGdAsO
_chemical_formula_sum 'La2 Gd2 As2 O2'
_cell_length_a 4.277
_cell_length_b 4.277
_cell_length_c 9.533
_cell_angle_alpha 90.00
_cell_angle_beta 90.00
_cell_angle_gamma 90.00
_symmetry_space_group_name_H-M 'P 4/n m m'
_symmetry_Int_Tables_number 129
loop_
_symmetry_equiv_pos_as_xyz
'x,y,z'
'-x,-y,-z'
'-y+1/2,x,z'
'y+1/2,-x,-z'
'-x+1/2,-y+1/2,z'
'x+1/2,y+1/2,-z'
'y,-x+1/2,z'
'-y,x+1/2,-z'
'x+1/2,-y,-z'
'-x+1/2,y,z'
'-y,-x,-z'
'y,x,z'
'-x,y+1/2,-z'
'x,-y+1/2,z'
'y+1/2,x+1/2,-z'
'-y+1/2,-x+1/2,z'
loop_
_atom_site_label
_atom_site_type_symbol
_atom_site_fract_x
_atom_site_fract_y
_atom_site_fract_z
La1 La 0.250 0.750 0.000
Gd1 Gd 0.250 0.250 0.400
As1 As 0.250 0.250 0.777
O1 O 0.250 0.750 0.500
```